1.
! BeTePtPb2 (PBE, relaxed); values from VASP
! Uncorrected formation energy in eV/atom: 1.0303
&SYSTEM
  ibrav = 0, nat = 5, ntyp = 4
/
ATOMIC_SPECIES
Pb 207.20 Pb.upf
Be 9.01 Be.upf
Pt 195.08 Pt.upf
Te 127.60 Te.upf
CELL_PARAMETERS angstrom
-5.7934 -0.8969 1.5816
1.4698 -2.1306 4.1759
-0.0764 5.3973 2.7807
ATOMIC_POSITIONS crystal
Pb 0.5000 0.0000 0.0000
Pb 0.0000 0.0000 0.5000
Be 0.5000 0.5000 0.5000
Pt 0.0000 0.5000 0.0000
Te 0.0000 0.0000 0.0000



2.
! RbBe2Pb (PBE, relaxed); values from VASP
! E_form in meV/atom: 698
&SYSTEM
  ibrav = 0, nat = 8, ntyp = 3
/
ATOMIC_SPECIES
Pb 207.20 Pb.upf
Be 9.01 Be.upf
Rb 85.47 Rb.upf
CELL_PARAMETERS angstrom
-3.4624 -0.7954 -3.9832
-1.3268 -4.7254 2.0970
-8.3365 0.8777 3.4955
ATOMIC_POSITIONS crystal
Pb 0.7500 0.2500 0.5000
Pb 0.0000 0.0000 0.0000
Be 0.8747 0.6250 0.2500
Be 0.8750 0.1253 0.7500
Be 0.3750 0.1247 0.7500
Be 0.8753 0.1250 0.2500
Rb 0.2500 0.7500 0.5000
Rb 0.5000 0.5000 0.0000



3.
! RbBePbSe2 (PBE, relaxed); values from VASP
! Uncorrected formation energy in eV/atom: -0.5048
&SYSTEM
  ibrav = 0, nat = 10, ntyp = 4
/
ATOMIC_SPECIES
Se 78.96 Se.upf
Rb 85.47 Rb.upf
Be 9.01 Be.upf
Pb 207.20 Pb.upf
CELL_PARAMETERS angstrom
-3.6453 0.5278 1.8606
1.6022 -5.8660 4.8031
3.8501 7.2419 5.4890
ATOMIC_POSITIONS crystal
Se 0.2822 0.7747 0.4799
Se 0.7178 0.2253 0.5201
Se 0.7178 0.7747 0.9799
Se 0.2822 0.2253 0.0201
Rb 0.8075 0.5000 0.2500
Rb 0.1925 0.5000 0.7500
Be 0.0000 0.0000 0.5000
Be 0.0000 0.0000 0.0000
Pb 0.5204 0.0000 0.7500
Pb 0.4796 0.0000 0.2500



4.
! RbTaBePb2 (PBE, relaxed); values from VASP
! E_form in meV/atom: 1397
&SYSTEM
  ibrav = 0, nat = 5, ntyp = 4
/
ATOMIC_SPECIES
Rb 85.47 Rb.upf
Pb 207.20 Pb.upf
Be 9.01 Be.upf
Ta 180.95 Ta.upf
CELL_PARAMETERS angstrom
5.1472 0.0000 0.0000
0.0000 5.9491 0.0000
0.0000 0.0000 5.1472
ATOMIC_POSITIONS crystal
Rb 0.0000 0.5000 0.0000
Pb 0.5000 0.0000 0.0000
Pb 0.0000 0.0000 0.5000
Be 0.0000 0.0000 0.0000
Ta 0.5000 0.5000 0.5000



5.
! RbYBePb2 (PBE, relaxed); values from VASP
! E_form in meV/atom: 487
&SYSTEM
  ibrav = 0, nat = 5, ntyp = 4
/
ATOMIC_SPECIES
Rb 85.47 Rb.upf
Y 88.91 Y.upf
Pb 207.20 Pb.upf
Be 9.01 Be.upf
CELL_PARAMETERS angstrom
5.2464 0.0000 0.0000
0.0000 5.4248 0.0000
0.0000 0.0000 5.2464
ATOMIC_POSITIONS crystal
Rb 0.0000 0.5000 0.0000
Y 0.5000 0.5000 0.5000
Pb 0.5000 0.0000 0.0000
Pb 0.0000 0.0000 0.5000
Be 0.0000 0.0000 0.0000



6.
! Be4RePb (PBE, relaxed); values from VASP
! E_form in meV/atom: 344
&SYSTEM
  ibrav = 0, nat = 6, ntyp = 3
/
ATOMIC_SPECIES
Be 9.01 Be.upf
Re 186.21 Re.upf
Pb 207.20 Pb.upf
CELL_PARAMETERS angstrom
-3.1553 -3.3301 -0.6787
-0.9047 -3.0581 3.3668
-4.0547 0.1552 2.2453
ATOMIC_POSITIONS crystal
Be 0.3706 0.3706 0.8883
Be 0.3706 0.8883 0.3706
Be 0.8883 0.3706 0.3706
Be 0.3706 0.3706 0.3706
Re 0.0000 0.0000 0.0000
Pb 0.7500 0.7500 0.7500



7.
! BeRe3Pb (PBE, relaxed); values from VASP
! E_form in meV/atom: 1105
&SYSTEM
  ibrav = 0, nat = 5, ntyp = 3
/
ATOMIC_SPECIES
Re 186.21 Re.upf
Be 9.01 Be.upf
Pb 207.20 Pb.upf
CELL_PARAMETERS angstrom
4.2863 0.0000 0.0000
0.0000 4.2863 0.0000
0.0000 0.0000 4.2863
ATOMIC_POSITIONS crystal
Re 0.0000 0.5000 0.0000
Re 0.5000 0.0000 0.0000
Re 0.0000 0.0000 0.5000
Be 0.0000 0.0000 0.0000
Pb 0.5000 0.5000 0.5000



8.
! BeRe3Pb (PBE, relaxed); values from VASP
! E_form in meV/atom: 3616
&SYSTEM
  ibrav = 0, nat = 5, ntyp = 3
/
ATOMIC_SPECIES
Re 186.21 Re.upf
Be 9.01 Be.upf
Pb 207.20 Pb.upf
CELL_PARAMETERS angstrom
4.9563 0.0000 0.0000
0.0000 4.9563 0.0000
0.0000 0.0000 4.9563
ATOMIC_POSITIONS crystal
Re 0.5000 0.0000 0.0000
Re 0.0000 0.5000 0.0000
Re 0.0000 0.0000 0.5000
Be 0.5000 0.5000 0.5000
Pb 0.0000 0.0000 0.0000



Number 1: DFT total energy -3.0348 eV/atom, density of states at the Fermi level 4.03 states/eV/f.u.. Number 2: DFT total energy -2.3340 eV/atom, density of states at the Fermi level 2.82 states/eV/f.u.. Number 3: DFT total energy -3.5790 eV/atom, density of states at the Fermi level 1.19 states/eV/f.u.. Number 4: DFT total energy -3.3951 eV/atom, density of states at the Fermi level 5.89 states/eV/f.u.. Number 5: DFT total energy -3.2275 eV/atom, density of states at the Fermi level 2.86 states/eV/f.u.. Number 6: DFT total energy -4.8331 eV/atom, density of states at the Fermi level 3.13 states/eV/f.u.. Number 7: DFT total energy -7.8509 eV/atom, density of states at the Fermi level 6.60 states/eV/f.u.. Number 8: DFT total energy -5.3395 eV/atom, density of states at the Fermi level 7.23 states/eV/f.u..